HfBeV2Pb: optimized geometry, PBE.

Cell: 5.0358 5.0358 5.3713 Å, 90.00 90.00 90.00°
With the nearest neighbours (Å) after each atom.
Fractional coordinates of all 5 atoms:
1 Hf 0.0000 0.0000 0.0000  2 Pb 2.69
2 Be 0.5000 0.5000 0.0000  4 Hf 3.56, 8 V 3.68
3 V 0.0000 0.5000 0.5000  2 Pb 2.52
4 V 0.5000 0.0000 0.5000  2 Pb 2.52
5 Pb 0.0000 0.0000 0.5000  4 V 2.52, 2 Hf 2.69

## Properties
V: 27.24 Å³ per atom
Total magnetic moment: 5.58 μB per formula unit
Final energy: -5.1531 eV/atom